DFT (GGA-PBE) results for a relaxed structure of Ti4VGa.

Summary:
* V: 18.58 A^3/atom
* N(E_F): 1.299 states/eV per atom
* magnetization: 0.000 μB per atom
* total energy: -41.7 eV/cell
* energy of formation: 0.340 eV per atom
* crystal system: monoclinic

a b c (Å): 4.257 4.257 6.150
angles (deg): 90.05 90.05 90.00
Element x y z (fractional)
Ti1 0.000 0.500 0.230
Ti2 0.000 0.500 0.770
Ti3 0.500 0.000 0.230
Ti4 0.500 0.000 0.770
V1 0.000 0.000 0.000
Ga1 0.500 0.500 0.500